Arrangement a

# MnPtSe2

Crystalline MnPtSe2 at its relaxed geometry (GGA-PBE, Alexandria).

Geometry as CIF:
```
data_MnPtSe2
_space_group_name_H-M_alt 'P 1'
_space_group_IT_number 1
_space_group_name_Hall 'P 1'
_cell_length_a 5.565
_cell_length_b 5.565
_cell_length_c 5.565
_cell_angle_alpha 140.08
_cell_angle_beta 140.08
_cell_angle_gamma 57.73
loop_
_atom_site_label
_atom_site_type_symbol
_atom_site_fract_x
_atom_site_fract_y
_atom_site_fract_z
_atom_site_occupancy
Se1 Se 0.000 0.000 0.000 1
Se2 Se 0.250 0.750 0.500 1
Mn1 Mn 0.500 0.500 0.000 1
Pt1 Pt 0.750 0.250 0.500 1
```

Properties
V in Å³ per atom: 17.58
Magnetization in μB/atom: 0.94


Arrangement b

# MnPtSe2

Crystalline MnPtSe2 at its relaxed geometry (GGA-PBE, Alexandria).

Geometry as CIF:
```
data_MnPtSe2
_space_group_name_H-M_alt 'P 1'
_space_group_IT_number 1
_space_group_name_Hall 'P 1'
_cell_length_a 4.481
_cell_length_b 4.481
_cell_length_c 3.394
_cell_angle_alpha 90.00
_cell_angle_beta 90.00
_cell_angle_gamma 90.00
loop_
_atom_site_label
_atom_site_type_symbol
_atom_site_fract_x
_atom_site_fract_y
_atom_site_fract_z
_atom_site_occupancy
Mn1 Mn 0.500 0.000 0.500 1
Se1 Se 0.000 0.000 0.000 1
Se2 Se 0.500 0.500 0.000 1
Pt1 Pt 0.000 0.500 0.500 1
```

Properties
V in Å³ per atom: 17.03
Magnetization in μB/atom: 0.94


Arrangement c

# MnPtSe2

Crystalline MnPtSe2 at its relaxed geometry (GGA-PBE, Alexandria).

Geometry as CIF:
```
data_MnPtSe2
_space_group_name_H-M_alt 'P 1'
_space_group_IT_number 1
_space_group_name_Hall 'P 1'
_cell_length_a 5.606
_cell_length_b 5.606
_cell_length_c 6.601
_cell_angle_alpha 64.87
_cell_angle_beta 64.87
_cell_angle_gamma 90.00
loop_
_atom_site_label
_atom_site_type_symbol
_atom_site_fract_x
_atom_site_fract_y
_atom_site_fract_z
_atom_site_occupancy
Pt1 Pt 0.000 0.000 0.000 1
Pt2 Pt 0.750 0.250 0.500 1
Mn1 Mn 0.250 0.750 0.500 1
Mn2 Mn 0.500 0.500 0.000 1
Se1 Se 0.594 0.125 0.250 1
Se2 Se 0.156 0.625 0.250 1
Se3 Se 0.875 0.844 0.750 1
Se4 Se 0.375 0.406 0.750 1
```

Properties
V in Å³ per atom: 20.73
Magnetization in μB/atom: 0.00


Which of them is least stable? Easy: arrangement a.


Arrangement a

# MnPtSe2

Crystalline MnPtSe2 at its relaxed geometry (GGA-PBE, Alexandria).

Geometry as CIF:
```
data_MnPtSe2
_space_group_name_H-M_alt 'P 1'
_space_group_IT_number 1
_space_group_name_Hall 'P 1'
_cell_length_a 3.503
_cell_length_b 3.503
_cell_length_c 6.502
_cell_angle_alpha 90.00
_cell_angle_beta 90.00
_cell_angle_gamma 90.00
loop_
_atom_site_label
_atom_site_type_symbol
_atom_site_fract_x
_atom_site_fract_y
_atom_site_fract_z
_atom_site_occupancy
Mn1 Mn 0.000 0.000 0.517 1
Se1 Se 0.500 0.500 0.356 1
Se2 Se 0.000 0.000 0.887 1
Pt1 Pt 0.500 0.500 0.740 1
```

Properties
V in Å³ per atom: 19.94
Magnetization in μB/atom: 0.80


Arrangement b

# MnPtSe2

Crystalline MnPtSe2 at its relaxed geometry (GGA-PBE, Alexandria).

Geometry as CIF:
```
data_MnPtSe2
_space_group_name_H-M_alt 'P 1'
_space_group_IT_number 1
_space_group_name_Hall 'P 1'
_cell_length_a 3.938
_cell_length_b 3.938
_cell_length_c 5.731
_cell_angle_alpha 89.96
_cell_angle_beta 90.00
_cell_angle_gamma 90.00
loop_
_atom_site_label
_atom_site_type_symbol
_atom_site_fract_x
_atom_site_fract_y
_atom_site_fract_z
_atom_site_occupancy
Pt1 Pt 0.500 0.875 0.625 1
Mn1 Mn 0.000 0.375 0.625 1
Se1 Se 0.500 0.375 0.347 1
Se2 Se 0.000 0.875 0.903 1
```

Properties
V in Å³ per atom: 22.22
Magnetization in μB/atom: 0.85


Arrangement c

# MnPtSe2

Crystalline MnPtSe2 at its relaxed geometry (GGA-PBE, Alexandria).

Geometry as CIF:
```
data_MnPtSe2
_space_group_name_H-M_alt 'P 1'
_space_group_IT_number 1
_space_group_name_Hall 'P 1'
_cell_length_a 3.562
_cell_length_b 7.244
_cell_length_c 3.573
_cell_angle_alpha 90.00
_cell_angle_beta 90.00
_cell_angle_gamma 90.00
loop_
_atom_site_label
_atom_site_type_symbol
_atom_site_fract_x
_atom_site_fract_y
_atom_site_fract_z
_atom_site_occupancy
Se1 Se 0.000 0.000 0.000 1
Se2 Se 0.500 0.500 0.000 1
Mn1 Mn 0.500 0.000 0.500 1
Pt1 Pt 0.000 0.500 0.500 1
```

Properties
V in Å³ per atom: 23.05
Magnetization in μB/atom: 1.13


Which of them is least stable? Easy: arrangement c.


Arrangement a

# MnPtSe4

Crystalline MnPtSe4 at its relaxed geometry (GGA-PBE, Alexandria).

Geometry as CIF:
```
data_MnPtSe4
_space_group_name_H-M_alt 'P 1'
_space_group_IT_number 1
_space_group_name_Hall 'P 1'
_cell_length_a 3.662
_cell_length_b 6.314
_cell_length_c 12.768
_cell_angle_alpha 89.96
_cell_angle_beta 90.00
_cell_angle_gamma 90.00
loop_
_atom_site_label
_atom_site_type_symbol
_atom_site_fract_x
_atom_site_fract_y
_atom_site_fract_z
_atom_site_occupancy
Se1 Se 0.500 0.162 0.392 1
Se2 Se 0.000 0.330 0.607 1
Se3 Se 0.500 0.170 0.893 1
Se4 Se 0.000 0.662 0.892 1
Se5 Se 0.500 0.838 0.608 1
Se6 Se 0.500 0.830 0.107 1
Se7 Se 0.000 0.670 0.393 1
Se8 Se 0.000 0.338 0.108 1
Mn1 Mn 0.500 0.500 0.000 1
Mn2 Mn 0.000 0.000 0.500 1
Pt1 Pt 0.500 0.500 0.500 1
Pt2 Pt 0.000 0.000 0.000 1
```

Properties
V in Å³ per atom: 24.60
Magnetization in μB/atom: 0.50


Arrangement b

# MnPtSe4

Crystalline MnPtSe4 at its relaxed geometry (GGA-PBE, Alexandria).

Geometry as CIF:
```
data_MnPtSe4
_space_group_name_H-M_alt 'P 1'
_space_group_IT_number 1
_space_group_name_Hall 'P 1'
_cell_length_a 5.582
_cell_length_b 5.582
_cell_length_c 5.582
_cell_angle_alpha 60.00
_cell_angle_beta 60.00
_cell_angle_gamma 60.00
loop_
_atom_site_label
_atom_site_type_symbol
_atom_site_fract_x
_atom_site_fract_y
_atom_site_fract_z
_atom_site_occupancy
Se1 Se 0.374 0.374 0.374 1
Se2 Se 0.878 0.374 0.374 1
Se3 Se 0.374 0.374 0.878 1
Se4 Se 0.374 0.878 0.374 1
Mn1 Mn 0.750 0.750 0.750 1
Pt1 Pt 0.000 0.000 0.000 1
```

Properties
V in Å³ per atom: 20.49
Magnetization in μB/atom: 0.79


Which of them is least stable? Easy: arrangement b.


Arrangement a

# MnPt3Se

Crystalline MnPt3Se at its relaxed geometry (GGA-PBE, Alexandria).

Geometry as CIF:
```
data_MnPt3Se
_space_group_name_H-M_alt 'P 1'
_space_group_IT_number 1
_space_group_name_Hall 'P 1'
_cell_length_a 4.686
_cell_length_b 4.686
_cell_length_c 4.686
_cell_angle_alpha 90.00
_cell_angle_beta 90.00
_cell_angle_gamma 90.00
loop_
_atom_site_label
_atom_site_type_symbol
_atom_site_fract_x
_atom_site_fract_y
_atom_site_fract_z
_atom_site_occupancy
Pt1 Pt 0.000 0.500 0.000 1
Pt2 Pt 0.000 0.000 0.500 1
Pt3 Pt 0.500 0.000 0.000 1
Mn1 Mn 0.500 0.500 0.500 1
Se1 Se 0.000 0.000 0.000 1
```

Properties
V in Å³ per atom: 20.58
Magnetization in μB/atom: 0.96


Arrangement b

# MnPt3Se

Crystalline MnPt3Se at its relaxed geometry (GGA-PBE, Alexandria).

Geometry as CIF:
```
data_MnPt3Se
_space_group_name_H-M_alt 'P 1'
_space_group_IT_number 1
_space_group_name_Hall 'P 1'
_cell_length_a 4.581
_cell_length_b 4.581
_cell_length_c 4.581
_cell_angle_alpha 90.00
_cell_angle_beta 90.00
_cell_angle_gamma 90.00
loop_
_atom_site_label
_atom_site_type_symbol
_atom_site_fract_x
_atom_site_fract_y
_atom_site_fract_z
_atom_site_occupancy
Pt1 Pt 0.500 0.000 0.000 1
Pt2 Pt 0.000 0.000 0.500 1
Pt3 Pt 0.000 0.500 0.000 1
Se1 Se 0.500 0.500 0.500 1
Mn1 Mn 0.000 0.000 0.000 1
```

Properties
V in Å³ per atom: 19.22
Magnetization in μB/atom: 0.00


Which of them is least stable? Easy: arrangement b.


Arrangement a

# MnSiPt3

Crystalline MnSiPt3 at its relaxed geometry (GGA-PBE, Alexandria).

Geometry as CIF:
```
data_MnSiPt3
_space_group_name_H-M_alt 'P 1'
_space_group_IT_number 1
_space_group_name_Hall 'P 1'
_cell_length_a 4.520
_cell_length_b 4.520
_cell_length_c 4.520
_cell_angle_alpha 90.00
_cell_angle_beta 90.00
_cell_angle_gamma 90.00
loop_
_atom_site_label
_atom_site_type_symbol
_atom_site_fract_x
_atom_site_fract_y
_atom_site_fract_z
_atom_site_occupancy
Pt1 Pt 0.000 0.500 0.000 1
Pt2 Pt 0.000 0.000 0.500 1
Pt3 Pt 0.500 0.000 0.000 1
Mn1 Mn 0.500 0.500 0.500 1
Si1 Si 0.000 0.000 0.000 1
```

Properties
V in Å³ per atom: 18.47
Magnetization in μB/atom: 0.96


Arrangement b

# MnSiPt3

Crystalline MnSiPt3 at its relaxed geometry (GGA-PBE, Alexandria).

Geometry as CIF:
```
data_MnSiPt3
_space_group_name_H-M_alt 'P 1'
_space_group_IT_number 1
_space_group_name_Hall 'P 1'
_cell_length_a 3.922
_cell_length_b 5.430
_cell_length_c 7.572
_cell_angle_alpha 82.94
_cell_angle_beta 89.98
_cell_angle_gamma 90.00
loop_
_atom_site_label
_atom_site_type_symbol
_atom_site_fract_x
_atom_site_fract_y
_atom_site_fract_z
_atom_site_occupancy
Pt1 Pt 0.626 0.423 0.733 1
Pt2 Pt 0.627 0.405 0.359 1
Pt3 Pt 0.126 0.142 0.936 1
Pt4 Pt 0.626 0.813 0.106 1
Pt5 Pt 0.626 0.921 0.730 1
Pt6 Pt 0.126 0.719 0.515 1
Si1 Si 0.626 0.298 0.070 1
Si2 Si 0.627 0.947 0.395 1
Mn1 Mn 0.126 0.205 0.558 1
Mn2 Mn 0.126 0.642 0.911 1
```

Properties
V in Å³ per atom: 16.00
Magnetization in μB/atom: 0.88


Arrangement c

# MnSiPt3

Crystalline MnSiPt3 at its relaxed geometry (GGA-PBE, Alexandria).

Geometry as CIF:
```
data_MnSiPt3
_space_group_name_H-M_alt 'P 1'
_space_group_IT_number 1
_space_group_name_Hall 'P 1'
_cell_length_a 4.568
_cell_length_b 4.568
_cell_length_c 4.568
_cell_angle_alpha 90.00
_cell_angle_beta 90.00
_cell_angle_gamma 90.00
loop_
_atom_site_label
_atom_site_type_symbol
_atom_site_fract_x
_atom_site_fract_y
_atom_site_fract_z
_atom_site_occupancy
Pt1 Pt 0.500 0.000 0.000 1
Pt2 Pt 0.000 0.000 0.500 1
Pt3 Pt 0.000 0.500 0.000 1
Si1 Si 0.500 0.500 0.500 1
Mn1 Mn 0.000 0.000 0.000 1
```

Properties
V in Å³ per atom: 19.06
Magnetization in μB/atom: 0.00


Which of them is least stable? Easy: arrangement c.


Arrangement a

# TaMn2Pt

Crystalline TaMn2Pt at its relaxed geometry (GGA-PBE, Alexandria).

Geometry as CIF:
```
data_TaMn2Pt
_space_group_name_H-M_alt 'P 1'
_space_group_IT_number 1
_space_group_name_Hall 'P 1'
_cell_length_a 4.769
_cell_length_b 4.769
_cell_length_c 4.859
_cell_angle_alpha 77.82
_cell_angle_beta 77.82
_cell_angle_gamma 34.35
loop_
_atom_site_label
_atom_site_type_symbol
_atom_site_fract_x
_atom_site_fract_y
_atom_site_fract_z
_atom_site_occupancy
Mn1 Mn 0.004 0.004 0.001 1
Mn2 Mn 0.496 0.496 0.499 1
Ta1 Ta 0.250 0.250 0.250 1
Pt1 Pt 0.750 0.750 0.750 1
```

Properties
V in Å³ per atom: 15.20
Magnetization in μB/atom: 1.50


Arrangement b

# TaMn2Pt

Crystalline TaMn2Pt at its relaxed geometry (GGA-PBE, Alexandria).

Geometry as CIF:
```
data_TaMn2Pt
_space_group_name_H-M_alt 'P 1'
_space_group_IT_number 1
_space_group_name_Hall 'P 1'
_cell_length_a 3.576
_cell_length_b 4.037
_cell_length_c 4.037
_cell_angle_alpha 90.00
_cell_angle_beta 90.00
_cell_angle_gamma 90.00
loop_
_atom_site_label
_atom_site_type_symbol
_atom_site_fract_x
_atom_site_fract_y
_atom_site_fract_z
_atom_site_occupancy
Mn1 Mn 0.000 0.000 0.000 1
Mn2 Mn 0.000 0.500 0.500 1
Pt1 Pt 0.500 0.500 0.000 1
Ta1 Ta 0.500 0.000 0.500 1
```

Properties
V in Å³ per atom: 14.56
Magnetization in μB/atom: 1.18


Which of them is least stable? Easy: arrangement a.


Arrangement a

# TaMn3Pt

Crystalline TaMn3Pt at its relaxed geometry (GGA-PBE, Alexandria).

Geometry as CIF:
```
data_TaMn3Pt
_space_group_name_H-M_alt 'P 1'
_space_group_IT_number 1
_space_group_name_Hall 'P 1'
_cell_length_a 4.407
_cell_length_b 4.407
_cell_length_c 4.407
_cell_angle_alpha 90.00
_cell_angle_beta 90.00
_cell_angle_gamma 90.00
loop_
_atom_site_label
_atom_site_type_symbol
_atom_site_fract_x
_atom_site_fract_y
_atom_site_fract_z
_atom_site_occupancy
Mn1 Mn 0.000 0.000 0.500 1
Mn2 Mn 0.000 0.500 0.000 1
Mn3 Mn 0.500 0.000 0.000 1
Ta1 Ta 0.000 0.000 0.000 1
Pt1 Pt 0.500 0.500 0.500 1
```

Properties
V in Å³ per atom: 17.12
Magnetization in μB/atom: 0.07


Arrangement b

# TaMn3Pt

Crystalline TaMn3Pt at its relaxed geometry (GGA-PBE, Alexandria).

Geometry as CIF:
```
data_TaMn3Pt
_space_group_name_H-M_alt 'P 1'
_space_group_IT_number 1
_space_group_name_Hall 'P 1'
_cell_length_a 4.437
_cell_length_b 4.437
_cell_length_c 4.437
_cell_angle_alpha 90.00
_cell_angle_beta 90.00
_cell_angle_gamma 90.00
loop_
_atom_site_label
_atom_site_type_symbol
_atom_site_fract_x
_atom_site_fract_y
_atom_site_fract_z
_atom_site_occupancy
Mn1 Mn 0.500 0.000 0.000 1
Mn2 Mn 0.000 0.500 0.000 1
Mn3 Mn 0.000 0.000 0.500 1
Ta1 Ta 0.500 0.500 0.500 1
Pt1 Pt 0.000 0.000 0.000 1
```

Properties
V in Å³ per atom: 17.47
Magnetization in μB/atom: 0.00


Which of them is least stable? Easy: arrangement a.


Arrangement a

# MnTc2Pt

Crystalline MnTc2Pt at its relaxed geometry (GGA-PBE, Alexandria).

Geometry as CIF:
```
data_MnTc2Pt
_space_group_name_H-M_alt 'P 1'
_space_group_IT_number 1
_space_group_name_Hall 'P 1'
_cell_length_a 4.731
_cell_length_b 4.731
_cell_length_c 4.693
_cell_angle_alpha 80.43
_cell_angle_beta 80.43
_cell_angle_gamma 33.49
loop_
_atom_site_label
_atom_site_type_symbol
_atom_site_fract_x
_atom_site_fract_y
_atom_site_fract_z
_atom_site_occupancy
Tc1 Tc 0.501 0.501 0.492 1
Tc2 Tc 0.999 0.999 0.008 1
Mn1 Mn 0.250 0.250 0.250 1
Pt1 Pt 0.750 0.750 0.750 1
```

Properties
V in Å³ per atom: 14.27
Magnetization in μB/atom: 0.58


Arrangement b

# MnTc2Pt

Crystalline MnTc2Pt at its relaxed geometry (GGA-PBE, Alexandria).

Geometry as CIF:
```
data_MnTc2Pt
_space_group_name_H-M_alt 'P 1'
_space_group_IT_number 1
_space_group_name_Hall 'P 1'
_cell_length_a 3.686
_cell_length_b 3.686
_cell_length_c 9.686
_cell_angle_alpha 79.03
_cell_angle_beta 79.03
_cell_angle_gamma 90.00
loop_
_atom_site_label
_atom_site_type_symbol
_atom_site_fract_x
_atom_site_fract_y
_atom_site_fract_z
_atom_site_occupancy
Tc1 Tc 0.592 0.125 0.250 1
Tc2 Tc 0.158 0.625 0.250 1
Tc3 Tc 0.875 0.842 0.750 1
Tc4 Tc 0.375 0.408 0.750 1
Pt1 Pt 0.000 0.000 0.000 1
Pt2 Pt 0.750 0.250 0.500 1
Mn1 Mn 0.500 0.500 0.000 1
Mn2 Mn 0.250 0.750 0.500 1
```

Properties
V in Å³ per atom: 15.84
Magnetization in μB/atom: 0.89


Which of them is least stable? Easy: arrangement b.